This record from Alexandria via LeMat-Bulk describes a PBEsol-optimized structure of SrBe2Au. The functional is SCAN.

* SG: Pm

Geometry as CIF:
```
data_SrBe2Au
_symmetry_space_group_name_H-M 'P 1'
_symmetry_Int_Tables_number 1
_symmetry_space_group_name_Hall 'P 1'
_cell_length_a 3.619
_cell_length_b 3.769
_cell_length_c 5.642
_cell_angle_alpha 90.00
_cell_angle_beta 101.46
_cell_angle_gamma 90.00
loop_
_atom_site_label
_atom_site_fract_x
_atom_site_fract_y
_atom_site_fract_z
_atom_site_occupancy
Sr1 0.475 0.000 0.462 1
Au1 0.282 0.500 0.909 1
Be1 0.887 0.000 0.981 1
Be2 0.855 0.500 0.148 1
```

=====

This record from Alexandria via LeMat-Bulk describes a PBEsol-optimized structure of SrBeAu3. The functional is SCAN.

* SG: Pm-3m

Geometry as CIF:
```
data_SrBeAu3
_symmetry_space_group_name_H-M 'P 1'
_symmetry_Int_Tables_number 1
_symmetry_space_group_name_Hall 'P 1'
_cell_length_a 5.564
_cell_length_b 5.564
_cell_length_c 5.564
_cell_angle_alpha 90.00
_cell_angle_beta 90.00
_cell_angle_gamma 90.00
loop_
_atom_site_label
_atom_site_fract_x
_atom_site_fract_y
_atom_site_fract_z
_atom_site_occupancy
Sr1 0.000 0.000 0.000 1
Au1 0.000 0.500 0.000 1
Au2 0.000 0.000 0.500 1
Au3 0.500 0.000 0.000 1
Be1 0.500 0.500 0.500 1
```

=====

This record from Alexandria via LeMat-Bulk describes a PBEsol-optimized structure of SrY2BeAu. The functional is SCAN.

* SG: P4/mmm

Geometry as CIF:
```
data_SrY2BeAu
_symmetry_space_group_name_H-M 'P 1'
_symmetry_Int_Tables_number 1
_symmetry_space_group_name_Hall 'P 1'
_cell_length_a 4.471
_cell_length_b 5.299
_cell_length_c 5.299
_cell_angle_alpha 90.00
_cell_angle_beta 90.00
_cell_angle_gamma 90.00
loop_
_atom_site_label
_atom_site_fract_x
_atom_site_fract_y
_atom_site_fract_z
_atom_site_occupancy
Y1 0.000 0.000 0.500 1
Y2 0.000 0.500 0.000 1
Sr1 0.500 0.500 0.500 1
Au1 0.500 0.000 0.000 1
Be1 0.000 0.000 0.000 1
```

=====

This record from Alexandria via LeMat-Bulk describes a PBEsol-optimized structure of TaBe3Au. The functional is SCAN.

* SG: Pm-3m

Geometry as CIF:
```
data_TaBe3Au
_symmetry_space_group_name_H-M 'P 1'
_symmetry_Int_Tables_number 1
_symmetry_space_group_name_Hall 'P 1'
_cell_length_a 4.154
_cell_length_b 4.154
_cell_length_c 4.154
_cell_angle_alpha 90.00
_cell_angle_beta 90.00
_cell_angle_gamma 90.00
loop_
_atom_site_label
_atom_site_fract_x
_atom_site_fract_y
_atom_site_fract_z
_atom_site_occupancy
Be1 0.000 0.500 0.000 1
Be2 0.000 0.000 0.500 1
Be3 0.500 0.000 0.000 1
Au1 0.000 0.000 0.000 1
Ta1 0.500 0.500 0.500 1
```

=====

This record from Alexandria via LeMat-Bulk describes a PBEsol-optimized structure of TaBeAu2. The functional is SCAN.

* SG: P4/mmm

Geometry as CIF:
```
data_TaBeAu2
_symmetry_space_group_name_H-M 'P 1'
_symmetry_Int_Tables_number 1
_symmetry_space_group_name_Hall 'P 1'
_cell_length_a 2.901
_cell_length_b 2.901
_cell_length_c 6.978
_cell_angle_alpha 90.00
_cell_angle_beta 90.00
_cell_angle_gamma 90.00
loop_
_atom_site_label
_atom_site_fract_x
_atom_site_fract_y
_atom_site_fract_z
_atom_site_occupancy
Be1 0.500 0.500 0.000 1
Au1 0.000 0.000 0.793 1
Au2 0.000 0.000 0.207 1
Ta1 0.500 0.500 0.500 1
```

=====

This record from Alexandria via LeMat-Bulk describes a PBEsol-optimized structure of TaBeAu2. The functional is SCAN.

* SG: P4mm

Geometry as CIF:
```
data_TaBeAu2
_symmetry_space_group_name_H-M 'P 1'
_symmetry_Int_Tables_number 1
_symmetry_space_group_name_Hall 'P 1'
_cell_length_a 2.845
_cell_length_b 2.845
_cell_length_c 7.328
_cell_angle_alpha 90.00
_cell_angle_beta 90.00
_cell_angle_gamma 90.00
loop_
_atom_site_label
_atom_site_fract_x
_atom_site_fract_y
_atom_site_fract_z
_atom_site_occupancy
Be1 0.000 0.000 0.488 1
Au1 0.000 0.000 0.996 1
Au2 0.500 0.500 0.300 1
Ta1 0.500 0.500 0.715 1
```

=====

This record from Alexandria via LeMat-Bulk describes a PBEsol-optimized structure of TaBeAu. The functional is SCAN.

* SG: I4mm

Geometry as CIF:
```
data_TaBeAu
_symmetry_space_group_name_H-M 'P 1'
_symmetry_Int_Tables_number 1
_symmetry_space_group_name_Hall 'P 1'
_cell_length_a 2.835
_cell_length_b 2.835
_cell_length_c 5.612
_cell_angle_alpha 104.63
_cell_angle_beta 104.63
_cell_angle_gamma 90.00
loop_
_atom_site_label
_atom_site_fract_x
_atom_site_fract_y
_atom_site_fract_z
_atom_site_occupancy
Be1 0.340 0.340 0.680 1
Au1 0.977 0.977 0.955 1
Ta1 0.683 0.683 0.366 1
```

=====

This record from Alexandria via LeMat-Bulk describes a PBEsol-optimized structure of Ta2Be2Au. The functional is SCAN.

* SG: P4/mbm

Geometry as CIF:
```
data_Ta2Be2Au
_symmetry_space_group_name_H-M 'P 1'
_symmetry_Int_Tables_number 1
_symmetry_space_group_name_Hall 'P 1'
_cell_length_a 3.705
_cell_length_b 6.002
_cell_length_c 6.002
_cell_angle_alpha 90.00
_cell_angle_beta 90.00
_cell_angle_gamma 90.00
loop_
_atom_site_label
_atom_site_fract_x
_atom_site_fract_y
_atom_site_fract_z
_atom_site_occupancy
Be1 0.000 0.374 0.874 1
Be2 0.000 0.874 0.626 1
Be3 0.000 0.626 0.126 1
Be4 0.000 0.126 0.374 1
Au1 0.000 0.000 0.000 1
Au2 0.000 0.500 0.500 1
Ta1 0.500 0.165 0.665 1
Ta2 0.500 0.665 0.835 1
Ta3 0.500 0.835 0.335 1
Ta4 0.500 0.335 0.165 1
```

=====

| no. | volume (Å³/f.u.) | energy of formation from the pure elements (kJ per mole of atoms) |
| --- | --- | --- |
| 1 | 75.4 | -6.6 |
| 2 | 172.2 | 109.6 |
| 3 | 125.6 | -6.0 |
| 4 | 71.7 | 62.9 |
| 5 | 58.7 | -22.9 |
| 6 | 59.3 | -19.1 |
| 7 | 42.1 | -23.2 |
| 8 | 66.7 | -34.7 |